The following is a DFT calculation (PBE) of crystalline CeY3Er at its relaxed geometry.

a = 11.0892 Å, b = 11.0892 Å, c = 8.4617 Å
α = 106.62°, β = 106.62°, γ = 18.70°
With the nearest neighbours (Å) after each atom.
Element x y z (fractional)
Ce: 0.1868 0.1868 0.3819  4 Ce 3.42-3.60, 2 Er 3.51, 6 Y 3.53-3.68
Ce: 0.8132 0.8132 0.6181  4 Ce 3.42-3.60, 2 Er 3.51, 6 Y 3.53-3.68
Y: 0.0171 0.0171 0.2150  7 Y 3.50-3.62, 4 Er 3.51-3.58, 1 Ce 3.57
Y: 0.2179 0.2179 0.8167  3 Er 3.49-3.65, 6 Y 3.51-3.60, 3 Ce 3.53-3.54
Y: 0.4164 0.4164 0.4153  9 Y 3.52-3.62, 1 Er 3.53, 2 Ce 3.68
Y: 0.5836 0.5836 0.5847  9 Y 3.52-3.62, 1 Er 3.53, 2 Ce 3.68
Y: 0.7821 0.7821 0.1833  3 Er 3.49-3.65, 6 Y 3.51-3.60, 3 Ce 3.53-3.54
Y: 0.9829 0.9829 0.7850  7 Y 3.50-3.62, 4 Er 3.51-3.58, 1 Ce 3.57
Er: 0.3838 0.3838 0.9814  8 Y 3.49-3.65, 2 Ce 3.51, 2 Er 3.60
Er: 0.6162 0.6162 0.0186  8 Y 3.49-3.65, 2 Ce 3.51, 2 Er 3.60

Summary:
Volume, Å³/cell: 319.33
Total energy, Ha/atom: -0.2179